(1)
PBE-GGA Dy3Tm7Mg, relaxed; crystal system = trigonal; formation energy from the elements = 201 meV/atom
1.0
6.896 0.000 0.000
-3.448 5.972 0.000
0.000 0.000 8.462
Dy Tm Mg
3 7 1
Direct
0.168 0.337 0.000 Dy
0.168 0.832 0.000 Dy
0.663 0.832 0.000 Dy
0.006 0.503 0.341 Tm
0.333 0.166 0.665 Tm
0.333 0.667 0.669 Tm
0.497 0.503 0.341 Tm
0.497 0.994 0.341 Tm
0.834 0.166 0.665 Tm
0.834 0.667 0.665 Tm
0.000 0.000 0.341 Mg

(2)
PBE-GGA CaPm6Pr8, relaxed; crystal system = trigonal; formation energy from the elements = 146 meV/atom
1.0
4.989 2.880 6.187
-4.989 2.880 6.187
0.000 -5.760 6.187
Ca Pm Pr
1 6 8
Direct
0.000 0.000 0.000 Ca
0.171 0.620 0.430 Pm
0.380 0.570 0.829 Pm
0.430 0.171 0.620 Pm
0.570 0.829 0.380 Pm
0.620 0.430 0.171 Pm
0.829 0.380 0.570 Pm
0.054 0.382 0.860 Pr
0.140 0.946 0.618 Pr
0.234 0.234 0.234 Pr
0.382 0.860 0.054 Pr
0.618 0.140 0.946 Pr
0.766 0.766 0.766 Pr
0.860 0.054 0.382 Pr
0.946 0.618 0.140 Pr

(3)
PBE-GGA Ca2AsCl, relaxed; crystal system = tetragonal; uncorrected formation energy = -1398 meV per atom
1.0
-3.146 3.146 7.004
3.146 -3.146 7.004
3.146 3.146 -7.004
Ca As Cl
4 2 2
Direct
0.112 0.625 0.987 Ca
0.375 0.362 0.487 Ca
0.638 0.125 0.013 Ca
0.875 0.888 0.513 Ca
0.000 0.000 0.000 As
0.750 0.250 0.500 As
0.250 0.750 0.500 Cl
0.500 0.500 0.000 Cl

(4)
PBE-GGA GeP2ICl, relaxed; E above lowest polymorph = 0 meV/atom; crystal system = tetragonal; uncorrected formation energy = 609 meV per atom
1.0
4.932 0.000 0.000
0.000 4.932 0.000
0.000 0.000 4.791
Ge P I Cl
1 2 1 1
Direct
0.000 0.000 0.000 Ge
0.000 0.500 0.000 P
0.500 0.000 0.000 P
0.500 0.500 0.500 I
0.000 0.000 0.500 Cl

(5)
PBE-GGA Pr2InIr2, relaxed; crystal system = monoclinic; formation energy from the elements = -638 meV/atom
1.0
5.184 -2.863 0.000
5.184 2.863 0.000
-2.165 0.000 7.992
Pr In Ir
4 2 4
Direct
0.012 0.698 0.853 Pr
0.302 0.988 0.647 Pr
0.698 0.012 0.353 Pr
0.988 0.302 0.147 Pr
0.352 0.648 0.250 In
0.648 0.352 0.750 In
0.209 0.505 0.494 Ir
0.495 0.791 0.006 Ir
0.505 0.209 0.994 Ir
0.791 0.495 0.506 Ir

(6)
PBE-GGA MgFeAgPd2, relaxed; crystal system = tetragonal; formation energy from the elements = 927 meV/atom
1.0
4.975 0.000 0.000
0.000 4.975 0.000
0.000 0.000 4.616
Mg Fe Ag Pd
1 1 1 2
Direct
0.000 0.000 0.000 Mg
0.500 0.500 0.000 Fe
0.500 0.500 0.500 Ag
0.000 0.500 0.500 Pd
0.500 0.000 0.500 Pd